DFT (PBE+U) results for an optimized crystal structure of Mn5CrO12.

The space group is C2/m (No. 12) and the conventional cell measures 5.074, 8.801 and 10.119 Å, with angles of 90.00, 90.00 and 90.00 degrees. The asymmetric unit holds Mn at (0.000, 0.000, 0.000), Mn at (0.000, 0.167, 0.500), Mn at (0.000, 0.333, 0.000), Cr at (0.000, 0.500, 0.500), O at (0.166, 0.000, 0.406), O at (0.167, 0.167, 0.095), O at (0.167, 0.333, 0.405) and O at (0.167, 0.500, 0.095).

For the total energy, the calculation gives -7.132 eV per atom.